No. 1
Material: KGaAu4
Method: DFT, GGA-PBE
State: optimized geometry

The structure in POSCAR format:
```
KGaAu4
1.0
6.659 -3.180 0.000
6.659 3.180 0.000
-0.321 0.000 6.644
K Ga Au
2 2 8
direct
0.218 0.218 0.357
0.782 0.782 0.643
0.454 0.454 0.778
0.546 0.546 0.222
0.128 0.685 0.112
0.224 0.776 0.500
0.273 0.273 0.877
0.315 0.872 0.888
0.685 0.128 0.112
0.727 0.727 0.123
0.776 0.224 0.500
0.872 0.315 0.888
```

Calculated values
- polymorph energy (0 for the lowest one) (kJ/mol of atoms) = 0.00
- calculated total energy (eV per atom) = -3.07
- energy relative to the elements (eV per atom) = -0.203

---

No. 2
Material: K3Ga3Au8
Method: DFT, GGA-PBE
State: optimized geometry

The structure in POSCAR format:
```
K3Ga3Au8
1.0
8.877 -2.115 0.000
8.877 2.115 0.000
-4.232 0.000 8.918
K Ga Au
3 3 8
direct
0.000 0.000 0.000
0.299 0.299 0.366
0.701 0.701 0.634
0.000 0.000 0.500
0.308 0.308 0.980
0.692 0.692 0.020
0.092 0.092 0.354
0.140 0.140 0.850
0.358 0.358 0.774
0.473 0.473 0.308
0.527 0.527 0.692
0.642 0.642 0.226
0.860 0.860 0.150
0.908 0.908 0.646
```

Calculated values
- calculated total energy (eV per atom) = -3.02
- energy relative to the elements (eV per atom) = -0.263

---

No. 3
Material: K3Ga7Au4
Method: DFT, GGA-PBE
State: optimized geometry

The structure in POSCAR format:
```
K3Ga7Au4
1.0
8.304 -2.348 0.000
8.304 2.348 0.000
-5.206 0.000 7.999
K Ga Au
3 7 4
direct
0.000 0.000 0.000
0.296 0.296 0.297
0.704 0.704 0.703
0.000 0.000 0.500
0.146 0.146 0.431
0.328 0.328 0.977
0.497 0.497 0.310
0.503 0.503 0.690
0.672 0.672 0.023
0.854 0.854 0.569
0.131 0.131 0.849
0.345 0.345 0.702
0.655 0.655 0.298
0.869 0.869 0.151
```

Calculated values
- calculated total energy (eV per atom) = -2.90
- energy relative to the elements (eV per atom) = -0.219

---

No. 4
Material: KGa4Au3
Method: DFT, GGA-PBE
State: optimized geometry

The structure in POSCAR format:
```
KGa4Au3
1.0
4.614 0.000 0.000
0.000 4.614 0.000
0.000 0.000 8.349
K Ga Au
1 4 3
direct
0.000 0.000 0.000
0.000 0.500 0.327
0.000 0.500 0.673
0.500 0.000 0.327
0.500 0.000 0.673
0.000 0.000 0.500
0.500 0.500 0.174
0.500 0.500 0.826
```

Calculated values
- calculated total energy (eV per atom) = -3.16
- energy relative to the elements (eV per atom) = -0.279

---

No. 5
Material: KGa2Au3
Method: DFT, GGA-PBE
State: optimized geometry

The structure in POSCAR format:
```
KGa2Au3
1.0
8.249 -2.236 0.000
8.249 2.236 0.000
-3.337 0.000 7.478
K Ga Au
2 4 6
direct
0.165 0.165 0.083
0.835 0.835 0.917
0.167 0.167 0.612
0.481 0.481 0.830
0.519 0.519 0.170
0.833 0.833 0.388
0.012 0.012 0.324
0.318 0.318 0.580
0.399 0.399 0.316
0.601 0.601 0.684
0.682 0.682 0.420
0.988 0.988 0.676
```

Calculated values
- polymorph energy (0 for the lowest one) (kJ/mol of atoms) = 7.96
- calculated total energy (eV per atom) = -3.09
- energy relative to the elements (eV per atom) = -0.263

---

No. 6
Material: KGa3Au
Method: DFT, GGA-PBE
State: optimized geometry

The structure in POSCAR format:
```
KGa3Au
1.0
3.240 -3.238 0.000
3.240 3.238 0.000
-3.220 0.000 5.464
K Ga Au
1 3 1
direct
0.000 0.000 0.000
0.251 0.752 0.503
0.382 0.382 0.764
0.752 0.251 0.503
0.625 0.625 0.249
```

Calculated values
- polymorph energy (0 for the lowest one) (kJ/mol of atoms) = 0.00
- calculated total energy (eV per atom) = -2.92
- energy relative to the elements (eV per atom) = -0.228

---

No. 7
Material: K2Ga12Au7
Method: DFT, GGA-PBE
State: optimized geometry

The structure in POSCAR format:
```
K2Ga12Au7
1.0
10.695 0.000 0.000
-5.348 9.262 0.000
0.000 0.000 4.399
K Ga Au
2 12 7
direct
0.333 0.667 0.246
0.667 0.333 0.754
0.060 0.621 0.755
0.128 0.867 0.248
0.133 0.261 0.248
0.261 0.128 0.752
0.379 0.439 0.755
0.439 0.060 0.245
0.561 0.940 0.755
0.621 0.561 0.245
0.739 0.872 0.248
0.867 0.739 0.752
0.872 0.133 0.752
0.940 0.379 0.245
0.000 0.000 0.000
0.107 0.399 0.740
0.292 0.893 0.740
0.399 0.292 0.260
0.601 0.708 0.740
0.708 0.107 0.260
0.893 0.601 0.260
```

Calculated values
- calculated total energy (eV per atom) = -3.17
- energy relative to the elements (eV per atom) = -0.240

---

No. 8
Material: K3GaAu
Method: DFT, GGA-PBE
State: optimized geometry

The structure in POSCAR format:
```
K3GaAu
1.0
8.686 0.000 0.000
0.000 8.409 0.000
-4.870 0.000 10.340
K Ga Au
12 4 4
direct
0.129 0.165 0.434
0.129 0.335 0.934
0.232 0.534 0.678
0.232 0.966 0.178
0.323 0.001 0.797
0.323 0.499 0.297
0.677 0.501 0.703
0.677 0.999 0.203
0.768 0.034 0.822
0.768 0.466 0.322
0.871 0.665 0.066
0.871 0.835 0.566
0.437 0.634 0.018
0.437 0.866 0.518
0.563 0.134 0.482
0.563 0.366 0.982
0.121 0.733 0.902
0.121 0.767 0.402
0.879 0.233 0.598
0.879 0.267 0.098
```

Calculated values
- polymorph energy (0 for the lowest one) (kJ/mol of atoms) = 0.00
- calculated total energy (eV per atom) = -2.05
- energy relative to the elements (eV per atom) = -0.134

---

No. 9
Material: KGa3Au
Method: DFT, GGA-PBE
State: optimized geometry

The structure in POSCAR format:
```
KGa3Au
1.0
5.731 0.000 0.000
0.000 5.731 0.000
0.000 0.000 5.731
K Ga Au
1 3 1
direct
0.000 0.000 0.000
0.000 0.000 0.500
0.000 0.500 0.000
0.500 0.000 0.000
0.500 0.500 0.500
```

Calculated values
- polymorph energy (0 for the lowest one) (kJ/mol of atoms) = 136.67
- calculated total energy (eV per atom) = -1.50
- energy relative to the elements (eV per atom) = 1.189

---

No. 10
Material: K2GaAu
Method: DFT, GGA-PBE
State: optimized geometry

The structure in POSCAR format:
```
K2GaAu
1.0
2.270 1.310 8.940
-2.270 1.310 8.940
0.000 -2.621 8.940
K Ga Au
2 1 1
direct
0.000 0.000 0.000
0.175 0.175 0.175
0.421 0.421 0.421
0.754 0.754 0.754
```

Calculated values
- calculated total energy (eV per atom) = -2.35
- energy relative to the elements (eV per atom) = -0.229

---

No. 11
Material: KGa6Au12
Method: DFT, GGA-PBE
State: optimized geometry

The structure in POSCAR format:
```
KGa6Au12
1.0
5.956 3.439 3.089
-5.956 3.439 3.089
0.000 -6.877 3.089
K Ga Au
1 6 12
direct
0.000 0.000 0.000
0.274 0.274 0.694
0.274 0.694 0.274
0.306 0.726 0.726
0.694 0.274 0.274
0.726 0.306 0.726
0.726 0.726 0.306
0.118 0.500 0.882
0.118 0.882 0.500
0.142 0.392 0.392
0.392 0.142 0.392
0.392 0.392 0.142
0.500 0.118 0.882
0.500 0.882 0.118
0.608 0.608 0.858
0.608 0.858 0.608
0.858 0.608 0.608
0.882 0.118 0.500
0.882 0.500 0.118
```

Calculated values
- polymorph energy (0 for the lowest one) (kJ/mol of atoms) = 1.66
- calculated total energy (eV per atom) = -3.24
- energy relative to the elements (eV per atom) = -0.155

---

No. 12
Material: KGaAu2
Method: DFT, GGA-PBE
State: optimized geometry

The structure in POSCAR format:
```
KGaAu2
1.0
3.410 0.000 0.000
0.000 3.410 0.000
0.000 0.000 8.013
K Ga Au
1 1 2
direct
0.000 0.000 0.000
0.000 0.000 0.500
0.500 0.500 0.312
0.500 0.500 0.688
```

Calculated values
- calculated total energy (eV per atom) = -2.80
- energy relative to the elements (eV per atom) = -0.134